VASP calculation (GGA+U) on an optimized crystal structure of MgCoNO2.

The structure in POSCAR format:
```
MgCoNO2
1.0
3.883 0.000 0.000
0.000 3.883 0.000
0.000 0.000 3.363
N Mg O Co
1 1 2 1
direct
0.000 0.000 0.500
0.500 0.500 0.500
0.500 0.000 0.000
0.000 0.500 0.000
0.000 0.000 0.000
```

Output
The total magnetization comes out at 0.06 μB per atom. The calculated volume is 10.141 Å³ per atom. As for the uncorrected energy: -5.313 eV/atom. As for the space-group type: P4/mmm.